This record from Alexandria via LeMat-Bulk describes DySbTe3 after structural relaxation. The functional is PBE-GGA.

Structure (extended XYZ):
```
10
Lattice="-4.5646 5.0945 3.6663 -6.2555 -2.4759 3.8688 0.2354 0.1674 8.2792" Properties=species:S:1:pos:R:3 pbc="T T T"
Dy -3.5377 1.0718 10.5399
Dy -7.0469 1.7143 5.2744
Sb -8.9640 2.2788 10.3208
Sb -1.6206 0.5073 5.4935
Te -6.0048 2.8833 10.7161
Te -4.7772 -1.4731 9.3620
Te -2.1521 2.2302 8.0625
Te -4.5799 -0.0972 5.0982
Te -5.8074 4.2591 6.4523
Te -8.4326 0.5558 7.7518
```

Computed properties:
The raw formation energy is -3.3 eV/f.u. The value obtained for the mass density is 6.1 Mg/m³. The total moment comes out at 0.0000 μB per atom. The calculation puts the energy at -43.00 eV per cell.

***

This record from Alexandria via LeMat-Bulk describes DyPuC2 after structural relaxation. The functional is PBE-GGA.

Structure (extended XYZ):
```
4
Lattice="-0.1669 0.9521 3.3773 -0.7290 -2.3936 2.4658 5.3988 -1.6005 2.5450" Properties=species:S:1:pos:R:3 pbc="T T T"
Dy 2.2873 -1.5280 4.1978
Pu 4.7972 -2.5606 6.4399
C 4.1302 -1.3511 2.4120
C 0.9385 -0.7237 2.0774
```

Computed properties:
The value obtained for the mass density is 11.5 Mg/m³. The total moment comes out at 0.7838 μB per atom. The formation energy is 0.098 eV/atom. The calculation puts the energy at -36.99 eV per cell.

***

This record from Alexandria via LeMat-Bulk describes PrSm2HoSc after structural relaxation. The functional is PBE-GGA.

Structure (extended XYZ):
```
10
Lattice="6.7049 0.0000 0.0000 0.0000 7.6854 1.4438 0.0000 -1.1465 6.0934" Properties=species:S:1:pos:R:3 pbc="T T T"
Pr 1.2906 2.9828 5.2920
Pr 5.4143 3.5561 2.2453
Sm 4.7883 4.6064 5.5984
Sm 4.7883 1.3592 4.9856
Sm 1.9165 5.1797 2.5517
Sm 1.9165 1.9325 1.9389
Ho 4.0378 -0.2866 1.5234
Ho 2.6671 -0.8599 4.5701
Sc 0.0000 0.0000 0.0000
Sc 0.0000 -0.5733 3.0467
```

Computed properties:
The value obtained for the mass density is 6.7 Mg/m³. The total moment comes out at 0.0000 μB per atom. The formation energy is 0.224 eV/atom. The calculation puts the energy at -48.01 eV per cell.

***

> Among the records above, which one has the lowest energy?

PrSm2HoSc

***

> Look up the energy of the second one.

-36.99 eV per cell

***

Please write out number 3 again, unchanged.
This record from Alexandria via LeMat-Bulk describes PrSm2HoSc after structural relaxation. The functional is PBE-GGA.

Structure (extended XYZ):
```
10
Lattice="6.7049 0.0000 0.0000 0.0000 7.6854 1.4438 0.0000 -1.1465 6.0934" Properties=species:S:1:pos:R:3 pbc="T T T"
Pr 1.2906 2.9828 5.2920
Pr 5.4143 3.5561 2.2453
Sm 4.7883 4.6064 5.5984
Sm 4.7883 1.3592 4.9856
Sm 1.9165 5.1797 2.5517
Sm 1.9165 1.9325 1.9389
Ho 4.0378 -0.2866 1.5234
Ho 2.6671 -0.8599 4.5701
Sc 0.0000 0.0000 0.0000
Sc 0.0000 -0.5733 3.0467
```

Computed properties:
The value obtained for the mass density is 6.7 Mg/m³. The total moment comes out at 0.0000 μB per atom. The formation energy is 0.224 eV/atom. The calculation puts the energy at -48.01 eV per cell.

***

> Which of these has the highest mass density?

DyPuC2